Entry 1:
Density functional theory data (PBE-GGA) for a geometry-optimized NaSnHg3Te4 structure.

Calculated values
The total energy is -2.2390 eV per atom. The calculation puts the relative energy among the computed polymorphs at 0.005 eV/atom. The space group is No. 11.

Cell and atoms, written as POSCAR:
```
NaSnHg3Te4
1.0
5.924 0.000 0.000
0.000 8.903 0.000
-0.261 0.000 12.342
Hg Te Sn Na
6 8 2 2
Direct
0.298 0.504 0.431
0.702 0.004 0.569
0.298 0.996 0.431
0.727 0.250 0.901
0.273 0.750 0.099
0.702 0.496 0.569
0.854 0.750 0.002
0.473 0.001 0.216
0.527 0.999 0.784
0.019 0.750 0.527
0.146 0.250 0.998
0.473 0.499 0.216
0.527 0.501 0.784
0.981 0.250 0.473
0.199 0.250 0.756
0.801 0.750 0.244
0.128 0.750 0.786
0.872 0.250 0.214
```

=====

Entry 2:
Density functional theory data (PBE-GGA) for a geometry-optimized Y2TaP6Os structure.

Calculated values
The total energy is -7.5045 eV per atom. For the total magnetization, the calculation gives 0.01 μB per formula unit. The space group is No. 14.

Cell and atoms, written as POSCAR:
```
Y2TaP6Os
1.0
-5.493 2.249 1.038
0.051 -2.605 5.914
8.603 5.853 2.504
Y Ta P Os
4 2 12 2
Direct
0.147 0.157 0.249
0.853 0.657 0.251
0.147 0.343 0.749
0.853 0.843 0.751
0.500 0.500 0.500
0.500 0.000 0.000
0.095 0.361 0.471
0.358 0.631 0.980
0.636 0.468 0.763
0.905 0.639 0.529
0.636 0.032 0.263
0.642 0.369 0.020
0.095 0.139 0.971
0.905 0.861 0.029
0.358 0.869 0.480
0.642 0.131 0.520
0.364 0.532 0.237
0.364 0.968 0.737
0.000 0.500 0.000
0.000 0.000 0.500
```

=====

Entry 3:
Density functional theory data (PBE-GGA) for a geometry-optimized ZrH6O2F6 structure.

Calculated values
The total energy is -5.4151 eV per atom. For the total magnetization, the calculation gives 0.00 μB per formula unit. The space group is No. 15.

Cell and atoms, written as POSCAR:
```
ZrH6O2F6
1.0
5.081 4.091 -0.216
-1.685 -1.262 6.441
2.965 -5.355 3.291
Zr O H F
2 4 12 12
Direct
0.750 0.054 0.893
0.250 0.946 0.107
0.988 0.755 0.646
0.012 0.246 0.354
0.512 0.600 0.646
0.488 0.400 0.354
0.586 0.767 0.628
0.456 0.484 0.804
0.544 0.516 0.196
0.044 0.712 0.804
0.914 0.605 0.628
0.086 0.395 0.372
0.382 0.599 0.541
0.414 0.233 0.372
0.956 0.288 0.196
0.618 0.401 0.459
0.118 0.859 0.541
0.882 0.141 0.459
0.438 0.086 0.808
0.642 0.697 0.991
0.142 0.689 0.009
0.062 0.105 0.808
0.858 0.311 0.991
0.807 0.391 0.602
0.193 0.609 0.398
0.938 0.895 0.192
0.693 0.007 0.602
0.358 0.303 0.009
0.562 0.914 0.192
0.307 0.993 0.398
```

=====

Entry 4:
Density functional theory data (PBE-GGA) for a geometry-optimized SrNb2Bi2O9 structure.

Calculated values
The total energy is -7.5453 eV per atom. For the total magnetization, the calculation gives 0.00 μB per formula unit. The space group is No. 36.

Cell and atoms, written as POSCAR:
```
SrNb2Bi2O9
1.0
0.000 -2.788 12.356
5.562 0.000 0.000
0.000 5.577 0.000
O Sr Nb Bi
18 2 4 4
Direct
0.823 0.791 0.374
0.000 0.513 0.305
0.321 0.508 0.340
0.679 0.508 0.018
0.823 0.291 0.449
0.000 0.013 0.695
0.177 0.291 0.626
0.136 0.730 0.042
0.177 0.791 0.551
0.505 0.222 0.260
0.321 0.008 0.982
0.136 0.230 0.094
0.864 0.230 0.958
0.495 0.722 0.740
0.505 0.722 0.245
0.864 0.730 0.906
0.679 0.008 0.660
0.495 0.222 0.755
0.000 0.473 0.751
0.000 0.973 0.249
0.828 0.986 0.664
0.828 0.486 0.165
0.172 0.986 0.835
0.172 0.486 0.336
0.601 0.955 0.021
0.399 0.455 0.979
0.399 0.955 0.420
0.601 0.455 0.580
```

=====

Entry 5:
Density functional theory data (PBE-GGA) for a geometry-optimized Nd3Gd2ErCoTe2 structure.

Calculated values
The total energy is -5.3202 eV per atom. For the total magnetization, the calculation gives 0.01 μB per formula unit. The space group is No. 38.

Cell and atoms, written as POSCAR:
```
Nd3Gd2ErCoTe2
1.0
-1.995 1.349 3.193
-7.151 -3.503 -2.987
5.126 -4.483 5.096
Er Nd Gd Te Co
1 3 2 2 1
Direct
0.000 0.232 0.232
0.500 0.000 0.404
0.500 0.596 0.596
0.500 0.404 0.000
0.000 0.000 0.768
0.000 0.768 0.000
0.000 0.666 0.333
0.000 0.333 0.666
0.500 0.000 0.000
```

=====

Entry 6:
Density functional theory data (PBE-GGA) for a geometry-optimized LuSc3C2Se2 structure.

Calculated values
The total energy is -7.2876 eV per atom. For the total magnetization, the calculation gives 0.01 μB per formula unit. The space group is No. 156.

Cell and atoms, written as POSCAR:
```
LuSc3C2Se2
1.0
3.549 0.000 0.000
-1.774 3.073 0.000
0.000 0.000 12.480
Se Sc Lu C
2 3 1 2
Direct
0.667 0.333 0.257
0.333 0.667 0.748
0.333 0.667 0.406
0.667 0.333 0.897
0.667 0.333 0.598
0.333 0.667 0.098
0.000 0.000 0.502
0.000 0.000 0.995
```